The following is a GGA-PBE calculation of an optimized crystal structure of RbInSiTe4, from Alexandria via LeMat-Bulk.

Properties
- Magnetization: 0.00 μB per cell
- SG: P2_1/m, No. 11
- Formation energy without anion corrections: -0.382 eV/atom

Cell: 7.0450 8.3478 10.0064 Å, 90.00 100.39 90.00°
Last column: nearest neighbours and their distance in Å.
Fractional positions:
Rb  0.7880  0.7500  0.9353  8 Te 3.87-4.27, 1 Si 4.16, 1 In 4.17
Rb  0.2120  0.2500  0.0647  8 Te 3.87-4.27, 1 Si 4.16, 1 In 4.17
In  0.6646  0.7500  0.3277  4 Te 2.80-2.87
In  0.3354  0.2500  0.6723  4 Te 2.80-2.87
Si  0.1611  0.7500  0.3088  4 Te 2.55-2.56
Si  0.8389  0.2500  0.6912  4 Te 2.55-2.56
Te  0.0645  0.4904  0.7108  1 Si 2.55, 1 In 2.84
Te  0.9355  0.9904  0.2892  1 Si 2.55, 1 In 2.84
Te  0.9355  0.5096  0.2892  1 Si 2.55, 1 In 2.84
Te  0.0645  0.0096  0.7108  1 Si 2.55, 1 In 2.84
Te  0.3392  0.7500  0.1085  1 Si 2.55
Te  0.6608  0.2500  0.8915  1 Si 2.55
Te  0.4242  0.7500  0.5218  1 Si 2.56, 1 In 2.80
Te  0.5758  0.2500  0.4782  1 Si 2.56, 1 In 2.80

The following is a GGA-PBE calculation of an optimized crystal structure of Rb2ZnInSi, from Alexandria via LeMat-Bulk.

Properties
- Magnetization: 0.00 μB per cell
- D(E_F): 3.22 states/eV/f.u.
- SG: P4/mmm, No. 123
- Formation energy without anion corrections: 0.327 eV/atom

Cell: 6.8647 5.2652 6.8647 Å, 90.00 90.00 90.00°
Last column: nearest neighbours and their distance in Å.
Fractional positions:
Zn  0.5000  0.5000  0.5000  8 Rb 4.33
Si  0.0000  0.0000  0.0000  2 In 2.63
Rb  0.0000  0.0000  0.5000  2 Si 3.43
Rb  0.5000  0.0000  0.0000  2 Si 3.43
In  0.0000  0.5000  0.0000  2 Si 2.63

The following is a GGA-PBE calculation of an optimized crystal structure of RbSmIn2, from Alexandria via LeMat-Bulk.

Properties
- Magnetization: 0.00 μB per cell
- D(E_F): 2.46 states/eV/f.u.
- DFT formation energy: -0.212 eV per atom
- SG: P4/mmm, No. 123

Cell: 3.9690 3.9690 8.8346 Å, 90.00 90.00 90.00°
Last column: nearest neighbours and their distance in Å.
Fractional positions:
Rb  0.5000  0.5000  0.5000  8 In 3.90, 4 Rb 3.97
Sm  0.5000  0.5000  0.0000  8 In 3.28
In  0.0000  0.0000  0.8072  4 Sm 3.28, 1 In 3.41
In  0.0000  0.0000  0.1928  4 Sm 3.28, 1 In 3.41

The following is a GGA-PBE calculation of an optimized crystal structure of Rb2SmInTe4, from Alexandria via LeMat-Bulk.

Properties
- Magnetization: 0.00 μB per cell
- D(E_F): 1.88 states/eV/f.u.
- SG: Imma, No. 74
- Formation energy without anion corrections: -0.925 eV/atom

Cell: 9.5449 9.5449 9.5418 Å, 119.98 119.98 90.89°
Last column: nearest neighbours and their distance in Å.
Fractional positions:
Rb  0.5000  0.0000  0.0000  6 Te 3.54-3.61
Rb  0.5000  0.0000  0.5000  6 Te 3.54-3.61
Rb  0.0000  0.0000  0.5000  6 Te 3.62-3.64
Rb  0.5000  0.5000  0.0000  6 Te 3.62-3.64
Sm  0.0000  0.5000  0.0000  6 Te 3.18-3.23
Sm  0.0000  0.5000  0.5000  6 Te 3.18-3.23
In  0.5000  0.5000  0.5000  6 Te 3.09-3.20
In  0.0000  0.0000  0.0000  6 Te 3.09-3.20
Te  0.2067  0.7372  0.9719  2 Sm 3.18, 1 In 3.20, 2 Rb 3.54-3.55
Te  0.7628  0.2933  0.5281  2 Sm 3.18, 1 In 3.20, 2 Rb 3.54-3.55
Te  0.2372  0.7067  0.4719  2 Sm 3.18, 1 In 3.20, 2 Rb 3.54-3.55
Te  0.7933  0.2628  0.0281  2 Sm 3.18, 1 In 3.20, 2 Rb 3.54-3.55
Te  0.7644  0.7363  0.9598  2 In 3.09, 1 Sm 3.23
Te  0.7637  0.7356  0.5402  2 In 3.09, 1 Sm 3.23
Te  0.2363  0.2645  0.4598  2 In 3.09, 1 Sm 3.23
Te  0.2355  0.2637  0.0402  2 In 3.09, 1 Sm 3.23

The following is a GGA-PBE calculation of an optimized crystal structure of RbIn3Sn, from Alexandria via LeMat-Bulk.

Properties
- Magnetization: 0.00 μB per cell
- D(E_F): 1.84 states/eV/f.u.
- DFT formation energy: -0.076 eV per atom
- SG: C2/c, No. 15

Cell: 7.4005 9.9125 9.9125 Å, 69.55 79.00 79.00°
Last column: nearest neighbours and their distance in Å.
Fractional positions:
Rb  0.2500  0.9694  0.0306  2 Sn 3.75, 2 Rb 3.76, 8 In 3.90-4.07
Rb  0.7500  0.0306  0.9694  2 Sn 3.75, 2 Rb 3.76, 8 In 3.90-4.07
Rb  0.2500  0.3573  0.6427  8 In 3.88-4.13, 6 Sn 3.90-4.16
Rb  0.7500  0.6427  0.3573  8 In 3.88-4.13, 6 Sn 3.90-4.16
In  0.6257  0.6417  0.9862  2 Sn 3.12-3.35, 5 In 3.21-3.49
In  0.8743  0.0138  0.3583  2 Sn 3.12-3.35, 5 In 3.21-3.49
In  0.3743  0.3583  0.0138  2 Sn 3.12-3.35, 5 In 3.21-3.49
In  0.1257  0.9862  0.6417  2 Sn 3.12-3.35, 5 In 3.21-3.49
In  0.9402  0.3442  0.0278  1 Sn 3.08, 5 In 3.12-3.34
In  0.5598  0.9722  0.6558  1 Sn 3.08, 5 In 3.12-3.34
In  0.0598  0.6558  0.9722  1 Sn 3.08, 5 In 3.12-3.34
In  0.4402  0.0278  0.3442  1 Sn 3.08, 5 In 3.12-3.34
In  0.3886  0.6790  0.7194  2 Sn 3.07-3.12, 4 In 3.12-3.32
In  0.1114  0.2806  0.3210  2 Sn 3.07-3.12, 4 In 3.12-3.32
In  0.6114  0.3210  0.2806  2 Sn 3.07-3.12, 4 In 3.12-3.32
In  0.8886  0.7194  0.6790  2 Sn 3.07-3.12, 4 In 3.12-3.32
Sn  0.7135  0.4319  0.7732  5 In 3.07-3.35, 1 Sn 3.26
Sn  0.7865  0.2268  0.5681  5 In 3.07-3.35, 1 Sn 3.26
Sn  0.2865  0.5681  0.2268  5 In 3.07-3.35, 1 Sn 3.26
Sn  0.2135  0.7732  0.4319  5 In 3.07-3.35, 1 Sn 3.26

The following is a GGA-PBE calculation of an optimized crystal structure of RbInSn, from Alexandria via LeMat-Bulk.

Properties
- Magnetization: 0.00 μB per cell
- D(E_F): 0.53 states/eV/f.u.
- DFT formation energy: -0.120 eV per atom
- SG: Pnma, No. 62

Cell: 7.2463 4.3321 15.8673 Å, 90.00 90.00 90.00°
Last column: nearest neighbours and their distance in Å.
Fractional positions:
Sn  0.6454  0.2500  0.0099  3 In 2.98-3.21, 2 Sn 3.04
Sn  0.8546  0.7500  0.5099  3 In 2.98-3.21, 2 Sn 3.04
Sn  0.3546  0.7500  0.9901  3 In 2.98-3.21, 2 Sn 3.04
Sn  0.1454  0.2500  0.4901  3 In 2.98-3.21, 2 Sn 3.04
Rb  0.0808  0.2500  0.1434  3 Sn 3.80-3.81, 4 In 3.89-4.09
Rb  0.4192  0.7500  0.6434  3 Sn 3.80-3.81, 4 In 3.89-4.09
Rb  0.9192  0.7500  0.8566  3 Sn 3.80-3.81, 4 In 3.89-4.09
Rb  0.5808  0.2500  0.3566  3 Sn 3.80-3.81, 4 In 3.89-4.09
In  0.9417  0.2500  0.6535  3 Sn 2.98-3.21
In  0.5583  0.7500  0.1535  3 Sn 2.98-3.21
In  0.0583  0.7500  0.3465  3 Sn 2.98-3.21
In  0.4417  0.2500  0.8465  3 Sn 2.98-3.21

The following is a GGA-PBE calculation of an optimized crystal structure of RbIn6Sn4, from Alexandria via LeMat-Bulk.

Properties
- Magnetization: 0.00 μB per cell
- D(E_F): 5.71 states/eV/f.u.
- DFT formation energy: -0.025 eV per atom
- SG: P-6m2, No. 187

Cell: 5.2336 8.7005 8.7005 Å, 120.00 90.00 90.00°
Last column: nearest neighbours and their distance in Å.
Fractional positions:
Rb  0.0000  0.0000  0.0000  12 In 4.05-4.39, 6 Sn 4.08
In  0.0000  0.5373  0.0746  5 Sn 3.07-3.25, 2 In 3.38
In  0.5000  0.5906  0.7953  4 Sn 3.11-3.26, 2 In 3.36
In  0.0000  0.5373  0.4627  5 Sn 3.07-3.25, 2 In 3.38
In  0.0000  0.9254  0.4627  5 Sn 3.07-3.25, 2 In 3.38
In  0.5000  0.2047  0.7953  4 Sn 3.11-3.26, 2 In 3.36
In  0.5000  0.2047  0.4094  4 Sn 3.11-3.26, 2 In 3.36
Sn  0.5000  0.7920  0.5841  6 In 3.11-3.25, 2 Sn 3.27
Sn  0.5000  0.4159  0.2080  6 In 3.11-3.25, 2 Sn 3.27
Sn  0.5000  0.7920  0.2080  6 In 3.11-3.25, 2 Sn 3.27
Sn  0.0000  0.3333  0.6667  9 In 3.07-3.26

The following is a GGA-PBE calculation of an optimized crystal structure of RbInSn, from Alexandria via LeMat-Bulk.

Properties
- Magnetization: 0.00 μB per cell
- D(E_F): 0.96 states/eV/f.u.
- DFT formation energy: -0.127 eV per atom
- SG: P-1, No. 2

Cell: 3.6894 6.7530 9.2437 Å, 72.09 101.61 105.21°
Last column: nearest neighbours and their distance in Å.
Fractional positions:
In  0.6259  0.2375  0.5146  3 Sn 2.98-3.08, 1 In 3.18
In  0.3741  0.7625  0.4854  3 Sn 2.98-3.08, 1 In 3.18
Rb  0.9320  0.2001  0.1436  5 Sn 3.56-3.94, 2 Rb 3.69, 2 In 3.88-3.92
Rb  0.0680  0.7999  0.8564  5 Sn 3.56-3.94, 2 Rb 3.69, 2 In 3.88-3.92
Sn  0.6903  0.6325  0.2549  3 In 2.98-3.08
Sn  0.3097  0.3675  0.7451  3 In 2.98-3.08

Computed values of calculated density (unit: g cm⁻³) for the preceding records, in sequence: 4.24, 2.54, 5.55, 5.15, 5.50, 4.25, 6.05, 5.05.